Entry from Alexandria via LeMat-Bulk: a PBEsol-optimized structure of PdPtPb2Se (meta-GGA SCAN).

The structure in POSCAR format:
```
PdPtPb2Se
1.0
-0.521 -4.822 1.269
1.804 -1.413 -4.630
4.811 -0.025 1.882
Pb Se Pd Pt
2 1 1 1
Direct
0.000 0.000 0.500
0.000 0.500 0.000
0.500 0.500 0.500
0.500 0.000 0.000
0.000 0.000 0.000
```

**Calculated total energy**: -273.130 eV per formula unit
**Symmetry**: P4/mmm
**Magnetization**: 0.00 Bohr magnetons per cell

---

Entry from Alexandria via LeMat-Bulk: a PBEsol-optimized structure of Re2PdRhPb (meta-GGA SCAN).

The structure in POSCAR format:
```
Re2PdRhPb
1.0
4.750 0.000 0.000
0.000 4.924 0.000
0.000 0.000 4.924
Pb Re Rh Pd
1 2 1 1
Direct
0.000 0.000 0.000
0.000 0.000 0.500
0.000 0.500 0.000
0.500 0.500 0.500
0.500 0.000 0.000
```

**Formation energy from the elements**: 2941 meV/atom
**Calculated total energy**: -269.818 eV per formula unit
**Symmetry**: P4/mmm
**Magnetization**: 4.86 Bohr magnetons per cell

---

Entry from Alexandria via LeMat-Bulk: a PBEsol-optimized structure of Zn2PdRhPb (meta-GGA SCAN).

The structure in POSCAR format:
```
Zn2PdRhPb
1.0
4.639 0.000 0.000
0.000 4.639 0.000
0.000 0.000 5.002
Pb Zn Rh Pd
1 2 1 1
Direct
0.000 0.000 0.500
0.000 0.500 0.000
0.500 0.000 0.000
0.000 0.000 0.000
0.500 0.500 0.500
```

**Formation energy from the elements**: 323 meV/atom
**Calculated total energy**: -167.744 eV per formula unit
**Symmetry**: P4/mmm
**Magnetization**: 0.00 Bohr magnetons per cell